DFT (PBE+U) results for K2LaNi3F12 after structural relaxation.

CIF file:
```
data_K2LaNi3F12
_chemical_formula_sum 'K2 La1 Ni3 F12'
_cell_length_a 6.983
_cell_length_b 6.983
_cell_length_c 6.983
_cell_angle_alpha 64.57
_cell_angle_beta 64.57
_cell_angle_gamma 64.57
_space_group_name_H-M_alt 'P 1'
_space_group_IT_number 1
_space_group_name_Hall 'P 1'
loop_
_atom_site_label
_atom_site_fract_x
_atom_site_fract_y
_atom_site_fract_z
K1 0.612 0.612 0.612
K2 0.388 0.388 0.388
La1 0.000 0.000 0.000
Ni1 0.500 0.000 0.000
Ni2 0.000 0.500 0.000
Ni3 0.000 0.000 0.500
F1 0.269 0.269 0.892
F2 0.868 0.868 0.409
F3 0.409 0.868 0.868
F4 0.892 0.269 0.269
F5 0.868 0.409 0.868
F6 0.269 0.892 0.269
F7 0.731 0.731 0.108
F8 0.132 0.132 0.591
F9 0.591 0.132 0.132
F10 0.108 0.731 0.731
F11 0.132 0.591 0.132
F12 0.731 0.108 0.731
```

Calculated values
Total energy, eV/atom: -4.72
Magnetization, μB/f.u.: 5.00
Volume, Å³ per cell: 264.86
Space-group type: R-3m, No. 166